[1]
This record from Alexandria describes an optimized crystal structure of TlV3Ag. The functional is PBE.

Computed properties:
**Density of states at the Fermi level**: 13.7 states/eV/cell
**Crystal system**: cubic
**E**: -4.97 eV/atom
**Formation energy from the elements**: 7.7 eV/f.u.
**Calculated density**: 6.3 Mg/m³

Cell: 4.974 4.974 4.974 Å, 90.00 90.00 90.00°
Fractional coordinates of all 5 atoms:
Tl 0.000 0.000 0.000
V 0.000 0.500 0.500
V 0.500 0.000 0.500
V 0.500 0.500 0.000
Ag 0.500 0.500 0.500

[2]
This record from Alexandria describes an optimized crystal structure of Hf2SiRuN. The functional is PBE.

Computed properties:
**Density of states at the Fermi level**: 2.9 states/eV/cell
**Crystal system**: tetragonal
**E**: -9.21 eV/atom
**Calculated density**: 11.3 Mg/m³
**Raw formation energy**: -0.627 eV/atom

Cell: 4.419 4.419 3.754 Å, 90.00 90.00 90.00°
Fractional coordinates of all 5 atoms:
Hf 0.000 0.500 0.000
Hf 0.500 0.000 0.000
Si 0.000 0.000 0.500
Ru 0.500 0.500 0.500
N 0.000 0.000 0.000

[3]
This record from Alexandria describes an optimized crystal structure of TeO2F. The functional is PBE.

Computed properties:
**Density of states at the Fermi level**: 2.3 states/eV/cell
**Crystal system**: cubic
**E**: -4.22 eV/atom
**Calculated density**: 7.4 Mg/m³
**Raw formation energy**: -0.488 eV/atom

Cell: 3.838 3.838 3.838 Å, 60.00 60.00 60.00°
Fractional coordinates of all 4 atoms:
Te 0.000 0.000 0.000
O 0.250 0.250 0.250
O 0.750 0.750 0.750
F 0.500 0.500 0.500

[4]
This record from Alexandria describes an optimized crystal structure of RbHfSc. The functional is PBE.

Computed properties:
**Density of states at the Fermi level**: 5.8 states/eV/cell
**Crystal system**: orthorhombic
**E**: -5.00 eV/atom
**Formation energy from the elements**: 2.2 eV/f.u.
**Calculated density**: 4.2 Mg/m³

Cell: 10.109 10.109 10.109 Å, 151.61 150.11 41.69°
Fractional coordinates of all 6 atoms:
Rb 0.000 0.000 0.000
Rb 0.351 0.351 0.000
Hf 0.599 0.599 0.000
Hf 0.665 0.165 0.500
Sc 0.172 0.672 0.500
Sc 0.754 0.754 0.000

[5]
This record from Alexandria describes an optimized crystal structure of Si3PtRh3. The functional is PBE.

Computed properties:
**Density of states at the Fermi level**: 9.1 states/eV/cell
**Crystal system**: orthorhombic
**E**: -7.02 eV/atom
**Calculated density**: 9.9 Mg/m³
**Raw formation energy**: -0.682 eV/atom

Cell: 10.853 2.879 12.685 Å, 90.00 90.00 90.00°
Fractional coordinates of all 28 atoms:
Si 0.038 0.250 0.082
Si 0.128 0.250 0.589
Si 0.216 0.750 0.337
Si 0.284 0.250 0.837
Si 0.372 0.750 0.089
Si 0.462 0.750 0.582
Si 0.538 0.250 0.418
Si 0.628 0.250 0.911
Si 0.716 0.750 0.163
Si 0.784 0.250 0.663
Si 0.872 0.750 0.411
Si 0.962 0.750 0.918
Pt 0.067 0.250 0.786
Pt 0.433 0.750 0.286
Pt 0.567 0.250 0.714
Pt 0.933 0.750 0.214
Rh 0.059 0.250 0.410
Rh 0.179 0.750 0.975
Rh 0.221 0.250 0.178
Rh 0.279 0.750 0.678
Rh 0.321 0.250 0.475
Rh 0.441 0.750 0.910
Rh 0.559 0.250 0.090
Rh 0.679 0.750 0.525
Rh 0.721 0.250 0.322
Rh 0.779 0.750 0.822
Rh 0.821 0.250 0.025
Rh 0.941 0.750 0.590

[6]
This record from Alexandria describes an optimized crystal structure of Mo2IrOs. The functional is PBE.

Computed properties:
**Density of states at the Fermi level**: 4.0 states/eV/cell
**Crystal system**: orthorhombic
**E**: -10.55 eV/atom
**Formation energy from the elements**: -0.4 eV/f.u.
**Calculated density**: 15.8 Mg/m³

Cell: 2.775 3.902 5.570 Å, 90.00 90.00 90.00°
Fractional coordinates of all 4 atoms:
Mo 0.000 0.000 0.247
Mo 0.000 0.000 0.753
Ir 0.500 0.500 0.500
Os 0.500 0.500 0.000

[7]
This record from Alexandria describes an optimized crystal structure of ErCdPb3. The functional is PBE.

Computed properties:
**Density of states at the Fermi level**: 5.0 states/eV/cell
**Crystal system**: orthorhombic
**E**: -3.34 eV/atom
**Formation energy from the elements**: -0.1 eV/f.u.
**Calculated density**: 9.6 Mg/m³

Cell: 5.363 6.523 8.868 Å, 90.00 90.00 90.00°
Fractional coordinates of all 10 atoms:
Er 0.250 0.250 0.108
Er 0.750 0.750 0.892
Cd 0.250 0.750 0.430
Cd 0.750 0.250 0.570
Pb 0.250 0.001 0.732
Pb 0.250 0.499 0.732
Pb 0.250 0.750 0.086
Pb 0.750 0.250 0.914
Pb 0.750 0.501 0.268
Pb 0.750 0.999 0.268

[8]
This record from Alexandria describes an optimized crystal structure of NdYMg4. The functional is PBE.

Computed properties:
**Density of states at the Fermi level**: 4.4 states/eV/cell
**Crystal system**: monoclinic
**E**: -3.03 eV/atom
**Formation energy from the elements**: -0.6 eV/f.u.
**Calculated density**: 3.4 Mg/m³

Cell: 3.340 9.129 5.275 Å, 90.00 90.08 90.00°
Fractional coordinates of all 6 atoms:
Nd 0.000 0.000 0.000
Y 0.000 0.500 0.500
Mg 0.500 0.172 0.500
Mg 0.500 0.338 0.000
Mg 0.500 0.662 0.000
Mg 0.500 0.828 0.500

[9]
This record from Alexandria describes an optimized crystal structure of MnRe2Mo. The functional is PBE.

Computed properties:
**Density of states at the Fermi level**: 4.4 states/eV/cell
**Crystal system**: tetragonal
**E**: -11.08 eV/atom
**Formation energy from the elements**: 0.6 eV/f.u.
**Calculated density**: 14.9 Mg/m³

Cell: 4.726 4.726 4.726 Å, 131.36 131.36 71.25°
Fractional coordinates of all 4 atoms:
Mn 0.000 0.000 0.000
Re 0.500 0.500 0.000
Re 0.750 0.250 0.500
Mo 0.250 0.750 0.500

[10]
This record from Alexandria describes an optimized crystal structure of LiMnBe. The functional is PBE.

Computed properties:
**Density of states at the Fermi level**: 1.8 states/eV/cell
**Crystal system**: orthorhombic
**E**: -4.73 eV/atom
**Formation energy from the elements**: 0.6 eV/f.u.
**Calculated density**: 3.7 Mg/m³

Cell: 6.363 6.255 2.326 Å, 82.00 76.78 21.22°
Fractional coordinates of all 3 atoms:
Li 0.000 0.000 0.000
Mn 0.679 0.679 0.321
Be 0.325 0.325 0.675

[11]
This record from Alexandria describes an optimized crystal structure of SrBSeN2. The functional is PBE.

Computed properties:
**Density of states at the Fermi level**: 2.5 states/eV/cell
**Crystal system**: tetragonal
**E**: -3.45 eV/atom
**Calculated density**: 2.3 Mg/m³
**Raw formation energy**: 2.246 eV/atom

Cell: 4.858 4.858 6.203 Å, 90.00 90.00 90.00°
Fractional coordinates of all 5 atoms:
Sr 0.000 0.000 0.000
B 0.500 0.500 0.500
Se 0.000 0.000 0.500
N 0.000 0.500 0.000
N 0.500 0.000 0.000

[12]
This record from Alexandria describes an optimized crystal structure of CrCd2Ag. The functional is PBE.

Computed properties:
**Density of states at the Fermi level**: 4.1 states/eV/cell
**Crystal system**: tetragonal
**E**: -3.11 eV/atom
**Formation energy from the elements**: 1.9 eV/f.u.
**Calculated density**: 7.5 Mg/m³

Cell: 6.160 6.160 6.160 Å, 102.69 102.69 124.10°
Fractional coordinates of all 8 atoms:
Cr 0.000 0.000 0.000
Cr 0.750 0.250 0.500
Cd 0.128 0.625 0.003
Cd 0.375 0.378 0.503
Cd 0.622 0.125 0.997
Cd 0.875 0.872 0.497
Ag 0.250 0.750 0.500
Ag 0.500 0.500 0.000

[13]
This record from Alexandria describes an optimized crystal structure of CdSbS2Br. The functional is PBE.

Computed properties:
**Density of states at the Fermi level**: 0.0 states/eV/cell
**Crystal system**: monoclinic
**E**: -3.46 eV/atom
**Calculated density**: 4.4 Mg/m³
**Raw formation energy**: -0.466 eV/atom

Cell: 6.585 5.376 8.187 Å, 90.00 97.98 90.00°
Fractional coordinates of all 10 atoms:
Cd 0.146 0.250 0.384
Cd 0.854 0.750 0.616
Sb 0.193 0.250 0.903
Sb 0.807 0.750 0.097
S 0.044 0.750 0.360
S 0.095 0.750 0.924
S 0.905 0.250 0.076
S 0.956 0.250 0.640
Br 0.491 0.750 0.711
Br 0.509 0.250 0.289

[14]
This record from Alexandria describes an optimized crystal structure of K2Pa2RhSe6. The functional is PBE.

Computed properties:
**Density of states at the Fermi level**: 4.9 states/eV/cell
**Crystal system**: monoclinic
**E**: -5.63 eV/atom
**Calculated density**: 5.6 Mg/m³
**Raw formation energy**: -1.134 eV/atom

Cell: 6.856 6.856 8.352 Å, 97.69 97.69 119.48°
Fractional coordinates of all 11 atoms:
K 0.171 0.829 0.000
K 0.829 0.171 0.000
Pa 0.340 0.660 0.500
Pa 0.660 0.340 0.500
Rh 0.000 0.000 0.500
Se 0.063 0.388 0.696
Se 0.247 0.247 0.294
Se 0.388 0.063 0.696
Se 0.612 0.937 0.304
Se 0.753 0.753 0.706
Se 0.937 0.612 0.304

[15]
This record from Alexandria describes an optimized crystal structure of DyPdAu. The functional is PBE.

Computed properties:
**Density of states at the Fermi level**: 5.4 states/eV/cell
**Crystal system**: monoclinic
**E**: -5.18 eV/atom
**Formation energy from the elements**: -2.5 eV/f.u.
**Calculated density**: 12.8 Mg/m³

Cell: 6.715 5.272 6.880 Å, 90.00 96.62 90.00°
Fractional coordinates of all 12 atoms:
Dy 0.242 0.128 0.003
Dy 0.242 0.372 0.503
Dy 0.758 0.628 0.497
Dy 0.758 0.872 0.997
Pd 0.078 0.624 0.835
Pd 0.078 0.876 0.335
Pd 0.922 0.124 0.665
Pd 0.922 0.376 0.165
Au 0.405 0.627 0.168
Au 0.405 0.873 0.668
Au 0.595 0.127 0.332
Au 0.595 0.373 0.832

[16]
This record from Alexandria describes an optimized crystal structure of Hf4ZrAl. The functional is PBE.

Computed properties:
**Density of states at the Fermi level**: 6.9 states/eV/cell
**Crystal system**: monoclinic
**E**: -8.77 eV/atom
**Formation energy from the elements**: -0.5 eV/f.u.
**Calculated density**: 10.8 Mg/m³

Cell: 5.384 5.384 5.412 Å, 99.79 99.79 119.60°
Fractional coordinates of all 6 atoms:
Hf 0.159 0.841 0.000
Hf 0.332 0.668 0.500
Hf 0.668 0.332 0.500
Hf 0.841 0.159 0.000
Zr 0.500 0.500 0.000
Al 0.000 0.000 0.500

[17]
This record from Alexandria describes an optimized crystal structure of K2UF4. The functional is PBE.

Computed properties:
**Density of states at the Fermi level**: 11.6 states/eV/cell
**Crystal system**: tetragonal
**E**: -5.58 eV/atom
**Calculated density**: 3.8 Mg/m³
**Raw formation energy**: -2.583 eV/atom

Cell: 8.284 8.284 8.284 Å, 146.59 146.59 47.98°
Fractional coordinates of all 7 atoms:
K 0.172 0.172 0.000
K 0.828 0.828 0.000
U 0.500 0.500 0.000
F 0.000 0.500 0.500
F 0.350 0.350 0.000
F 0.500 0.000 0.500
F 0.650 0.650 0.000

[18]
This record from Alexandria describes an optimized crystal structure of Pr6IrRh2I3. The functional is PBE.

Computed properties:
**Density of states at the Fermi level**: 2.9 states/eV/cell
**Crystal system**: monoclinic
**E**: -5.69 eV/atom
**Calculated density**: 7.1 Mg/m³
**Raw formation energy**: -0.945 eV/atom

Cell: 7.311 7.311 8.562 Å, 98.18 98.18 120.00°
Fractional coordinates of all 12 atoms:
Pr 0.062 0.394 0.185
Pr 0.271 0.271 0.815
Pr 0.394 0.062 0.185
Pr 0.606 0.938 0.815
Pr 0.729 0.729 0.185
Pr 0.938 0.606 0.815
Ir 0.000 0.000 0.000
Rh 0.333 0.667 0.000
Rh 0.667 0.333 0.000
I 0.167 0.833 0.500
I 0.500 0.500 0.500
I 0.833 0.167 0.500

[19]
This record from Alexandria describes an optimized crystal structure of FeRhSe2. The functional is PBE.

Computed properties:
**Density of states at the Fermi level**: 4.1 states/eV/cell
**Crystal system**: monoclinic
**E**: -5.65 eV/atom
**Calculated density**: 7.7 Mg/m³
**Raw formation energy**: 0.049 eV/atom

Cell: 4.924 4.924 4.467 Å, 95.91 95.91 39.09°
Fractional coordinates of all 4 atoms:
Fe 0.000 0.000 0.000
Rh 0.262 0.262 0.778
Se 0.518 0.518 0.612
Se 0.771 0.771 0.198